The following is a PBE-GGA calculation of crystalline Na5B7C3 at its relaxed geometry, from the Alexandria database.

Summary:
- Energy of formation: 122 meV per atom

extended XYZ file:
```
30
Lattice="8.5794 0.0000 0.0000 0.0000 1.4134 12.8549 0.0000 -1.4134 12.8549" Properties=species:S:1:pos:R:3 pbc="T T T"
Na 2.1223 0.0000 0.0000
Na 2.1161 0.0000 5.1246
Na 2.1158 0.0000 20.5362
Na 2.1352 0.0000 15.4321
Na 2.1423 0.0000 10.2697
Na 6.4371 0.0000 10.2697
Na 6.4442 0.0000 15.4321
Na 6.4571 0.0000 0.0000
Na 6.4633 0.0000 5.1246
Na 6.4636 0.0000 20.5362
B 0.0000 0.0000 1.7902
B 0.0000 0.0000 7.0120
B 0.0000 0.0000 11.8376
B 0.0000 0.0000 13.6350
B 0.0000 0.0000 17.0642
B 0.0000 0.0000 18.8373
B 0.0000 0.0000 22.2700
B 4.2897 0.0000 3.4885
B 4.2897 0.0000 8.2625
B 4.2897 0.0000 12.1626
B 4.2897 0.0000 13.9188
B 4.2897 0.0000 18.7492
B 4.2897 0.0000 22.2373
B 4.2897 0.0000 23.9096
C 0.0000 0.0000 3.4046
C 0.0000 0.0000 8.6149
C 0.0000 0.0000 23.9090
C 4.2897 0.0000 1.8618
C 4.2897 0.0000 6.7159
C 4.2897 0.0000 17.1449
```

=====

The following is a PBE-GGA calculation of crystalline BaCd2Hg at its relaxed geometry, from the Alexandria database.

Summary:
- Energy of formation: -243 meV per atom

extended XYZ file:
```
4
Lattice="4.1740 0.0000 0.0000 0.0000 5.2554 0.0000 0.0000 0.0000 5.9797" Properties=species:S:1:pos:R:3 pbc="T T T"
Ba 0.0000 0.0000 0.0000
Cd 2.0870 2.6277 1.5171
Cd 2.0870 2.6277 4.4626
Hg 2.0870 0.0000 2.9899
```

=====

The following is a PBE-GGA calculation of crystalline MnBeI2 at its relaxed geometry, from the Alexandria database.

Summary:
- E_form (uncorrected): 0.532 eV/atom

extended XYZ file:
```
16
Lattice="5.9822 0.0000 0.0000 0.0000 5.9822 0.0000 0.0000 0.0000 11.4411" Properties=species:S:1:pos:R:3 pbc="T T T"
Mn 0.0000 0.0000 0.0000
Mn 0.0000 2.9911 2.8603
Mn 2.9911 0.0000 8.5808
Mn 2.9911 2.9911 5.7205
Be 0.0000 0.0000 5.7205
Be 0.0000 2.9911 8.5808
Be 2.9911 0.0000 2.8603
Be 2.9911 2.9911 0.0000
I 1.3503 1.4955 7.1507
I 1.4955 4.3414 10.0109
I 1.4955 4.6318 4.2904
I 1.6407 1.4955 1.4301
I 4.3414 4.4866 1.4301
I 4.4866 1.3503 4.2904
I 4.4866 1.6407 10.0109
I 4.6318 4.4866 7.1507
```

=====

The following is a PBE-GGA calculation of crystalline AlBOs2 at its relaxed geometry, from the Alexandria database.

Summary:
- Energy of formation: 666 meV per atom

extended XYZ file:
```
16
Lattice="3.9918 0.0000 0.0000 0.0000 3.9918 0.0000 0.0000 0.0000 15.1912" Properties=species:S:1:pos:R:3 pbc="T T T"
Al 0.0000 0.0000 0.0000
Al 0.0000 1.9959 3.7978
Al 1.9959 0.0000 11.3934
Al 1.9959 1.9959 7.5956
B 0.0000 0.0000 7.5956
B 0.0000 1.9959 11.3934
B 1.9959 0.0000 3.7978
B 1.9959 1.9959 0.0000
Os 0.6793 0.9980 9.4945
Os 0.9980 2.6752 13.2923
Os 0.9980 3.3125 5.6967
Os 1.3166 0.9980 1.8989
Os 2.6752 2.9939 1.8989
Os 2.9939 0.6793 5.6967
Os 2.9939 1.3166 13.2923
Os 3.3125 2.9939 9.4945
```

=====

The following is a PBE-GGA calculation of crystalline AlTcIr2 at its relaxed geometry, from the Alexandria database.

Summary:
- Energy of formation: -131 meV per atom

extended XYZ file:
```
16
Lattice="6.1510 0.0000 0.0000 0.0000 6.1510 0.0000 0.0000 0.0000 6.1510" Properties=species:S:1:pos:R:3 pbc="T T T"
Al 0.0000 0.0000 0.0000
Al 0.0000 3.0755 3.0755
Al 3.0755 0.0000 3.0755
Al 3.0755 3.0755 0.0000
Tc 1.5377 1.5377 1.5377
Tc 1.5377 4.6132 4.6132
Tc 4.6132 1.5377 4.6132
Tc 4.6132 4.6132 1.5377
Ir 0.0000 0.0000 3.0755
Ir 0.0000 3.0755 0.0000
Ir 1.5377 1.5377 4.6132
Ir 1.5377 4.6132 1.5377
Ir 3.0755 0.0000 0.0000
Ir 3.0755 3.0755 3.0755
Ir 4.6132 1.5377 1.5377
Ir 4.6132 4.6132 4.6132
```

=====

The following is a PBE-GGA calculation of crystalline TaCdSe2 at its relaxed geometry, from the Alexandria database.

Summary:
- E_form (uncorrected): 0.135 eV/atom

extended XYZ file:
```
4
Lattice="4.7825 0.0000 0.0000 0.0000 4.7825 0.0000 0.0000 0.0000 3.3426" Properties=species:S:1:pos:R:3 pbc="T T T"
Ta 0.0000 0.0000 0.0000
Cd 2.3913 2.3913 0.0000
Se 0.0000 2.3913 1.6713
Se 2.3913 0.0000 1.6713
```

=====

The following is a PBE-GGA calculation of crystalline Th2AgRuPb at its relaxed geometry, from the Alexandria database.

Summary:
- Energy of formation: -321 meV per atom

extended XYZ file:
```
10
Lattice="8.2566 0.0000 0.0000 0.0000 3.9745 0.0000 -2.6684 0.0000 7.9495" Properties=species:S:1:pos:R:3 pbc="T T T"
Th -0.7164 0.9936 2.2958
Th 2.5534 0.9936 0.7356
Th 3.0348 2.9809 7.2138
Th 6.3046 2.9809 5.6536
Ag 1.7978 2.9809 3.4367
Ag 3.7904 0.9936 4.5128
Ru 0.6157 2.9809 0.8958
Ru 4.9725 0.9936 7.0537
Pb 0.8164 0.9936 5.4367
Pb 4.7718 2.9809 2.5128
```

=====

The following is a PBE-GGA calculation of crystalline Sm2MnBPt6 at its relaxed geometry, from the Alexandria database.

Summary:
- Energy of formation: -785 meV per atom

extended XYZ file:
```
10
Lattice="2.8427 1.6412 6.5516 -2.8427 1.6412 6.5516 0.0000 -3.2825 6.5516" Properties=species:S:1:pos:R:3 pbc="T T T"
Sm 0.0000 0.0000 4.1449
Sm 0.0000 0.0000 15.5099
Mn 0.0000 0.0000 9.8274
B 0.0000 0.0000 0.0000
Pt 0.0000 -1.5904 7.8141
Pt -1.3773 0.7952 7.8141
Pt -1.3773 -0.7952 11.8407
Pt 1.3773 0.7952 7.8141
Pt 1.3773 -0.7952 11.8407
Pt 0.0000 1.5904 11.8407
```

=====

The following is a PBE-GGA calculation of crystalline HgAsBr2Cl at its relaxed geometry, from the Alexandria database.

Summary:
- E_form (uncorrected): 0.467 eV/atom

extended XYZ file:
```
5
Lattice="5.3412 0.0000 0.0000 0.0000 5.3412 0.0000 0.0000 0.0000 5.5923" Properties=species:S:1:pos:R:3 pbc="T T T"
Hg 0.0000 0.0000 0.0000
As 0.0000 0.0000 2.7961
Br 0.0000 2.6706 0.0000
Br 2.6706 0.0000 0.0000
Cl 2.6706 2.6706 2.7961
```

=====

The following is a PBE-GGA calculation of crystalline Tb2Er3Pd2 at its relaxed geometry, from the Alexandria database.

Summary:
- Energy of formation: -402 meV per atom

extended XYZ file:
```
14
Lattice="12.5998 0.0000 0.0000 0.0000 3.6917 0.0000 -5.8879 0.0000 8.1014" Properties=species:S:1:pos:R:3 pbc="T T T"
Tb -0.7852 0.0000 3.0451
Tb 1.1972 1.8458 5.0562
Tb 5.5147 1.8458 3.0451
Tb 7.4971 0.0000 5.0562
Er 0.0000 1.8458 0.0000
Er -2.2201 1.8458 5.7896
Er 2.6321 0.0000 2.3118
Er 6.2999 0.0000 0.0000
Er 4.0798 0.0000 5.7896
Er 8.9320 1.8458 2.3118
Pd -3.7004 0.0000 7.5169
Pd 4.1124 1.8458 0.5845
Pd 2.5995 1.8458 7.5169
Pd 10.4123 0.0000 0.5845
```

=====

The following is a PBE-GGA calculation of crystalline PuTeRh at its relaxed geometry, from the Alexandria database.

Summary:
- E_form (uncorrected): -0.684 eV/atom

extended XYZ file:
```
6
Lattice="5.6261 0.0000 0.0000 0.0000 3.9100 0.0000 0.0000 0.0000 6.4960" Properties=species:S:1:pos:R:3 pbc="T T T"
Pu 1.4065 0.0000 1.6096
Pu 4.2195 0.0000 4.8864
Te 1.4065 1.9550 5.4725
Te 4.2195 1.9550 1.0235
Rh 0.0000 1.9550 3.2480
Rh 2.8130 1.9550 3.2480
```

=====

The following is a PBE-GGA calculation of crystalline CePuP2Rh2 at its relaxed geometry, from the Alexandria database.

Summary:
- Energy of formation: -1120 meV per atom

extended XYZ file:
```
6
Lattice="4.1018 0.0000 0.0000 -2.0509 3.5523 0.0000 0.0000 0.0000 7.7383" Properties=species:S:1:pos:R:3 pbc="T T T"
Ce 0.0000 0.0000 0.0000
Pu 0.0000 0.0000 3.8691
P 0.0000 2.3682 2.0907
P 2.0509 1.1841 5.6475
Rh 0.0000 2.3682 5.9129
Rh 2.0509 1.1841 1.8253
```

=====

The following is a PBE-GGA calculation of crystalline RbPmSnI6 at its relaxed geometry, from the Alexandria database.

Summary:
- E_form (uncorrected): -1.091 eV/atom

extended XYZ file:
```
18
Lattice="7.8958 0.0000 0.0000 0.0000 7.8958 0.0000 0.0000 0.0000 14.5288" Properties=species:S:1:pos:R:3 pbc="T T T"
Rb 0.0000 0.0000 0.0000
Rb 3.9479 3.9479 7.2644
Pm 0.0000 0.0000 4.8428
Pm 3.9479 3.9479 12.1072
Sn 0.0000 0.0000 9.7123
Sn 3.9479 3.9479 2.4479
I 1.3982 1.3982 7.2834
I 1.6629 1.6629 2.7870
I 1.7519 1.7519 11.8904
I 2.1960 5.6998 4.6260
I 2.2850 5.6108 10.0515
I 2.5497 5.3461 0.0190
I 5.3461 2.5497 0.0190
I 5.6108 2.2850 10.0515
I 5.6998 2.1960 4.6260
I 6.1439 6.1439 11.8904
I 6.2329 6.2329 2.7870
I 6.4976 6.4976 7.2834
```

=====

The following is a PBE-GGA calculation of crystalline AcMg5Ga2 at its relaxed geometry, from the Alexandria database.

Summary:
- Energy of formation: -258 meV per atom

extended XYZ file:
```
16
Lattice="4.4202 0.0000 0.0000 0.0000 8.2270 0.0000 0.0000 0.0000 10.5924" Properties=species:S:1:pos:R:3 pbc="T T T"
Ac 0.0000 0.0000 0.0000
Ac 2.2101 4.1135 5.2962
Mg 0.0000 1.5038 3.6671
Mg 0.0000 1.5038 6.9252
Mg 0.0000 4.1135 0.0000
Mg 0.0000 6.7232 3.6671
Mg 0.0000 6.7232 6.9252
Mg 2.2101 0.0000 5.2962
Mg 2.2101 2.6097 1.6291
Mg 2.2101 2.6097 8.9633
Mg 2.2101 5.6173 1.6291
Mg 2.2101 5.6173 8.9633
Ga 0.0000 4.1135 2.7775
Ga 0.0000 4.1135 7.8148
Ga 2.2101 0.0000 2.5186
Ga 2.2101 0.0000 8.0737
```

=====

The following is a PBE-GGA calculation of crystalline Li2CeHg2 at its relaxed geometry, from the Alexandria database.

Summary:
- Energy of formation: -267 meV per atom

extended XYZ file:
```
10
Lattice="4.6639 -2.5418 0.0000 4.6639 2.5418 0.0000 -1.1553 0.0000 9.1759" Properties=species:S:1:pos:R:3 pbc="T T T"
Li 2.5846 1.2757 5.4716
Li 5.0103 1.2757 8.2922
Li 3.1622 -1.2757 0.8837
Li 5.5879 -1.2757 3.7043
Ce 4.3751 1.2655 2.2940
Ce 3.7974 -1.2655 6.8819
Hg 2.2541 1.2777 8.2069
Hg 5.3407 1.2777 5.5570
Hg 2.8318 -1.2777 3.6189
Hg 5.9183 -1.2777 0.9691
```

=====

The following is a PBE-GGA calculation of crystalline Dy12Pd3Au5 at its relaxed geometry, from the Alexandria database.

Summary:
- Energy of formation: -325 meV per atom

extended XYZ file:
```
80
Lattice="-8.4606 8.4606 8.4606 8.4606 -8.4606 8.4606 8.4606 8.4606 -8.4606" Properties=species:S:1:pos:R:3 pbc="T T T"
Dy 2.5435 -0.3063 1.2618
Dy 10.1474 5.4921 -4.5366
Dy 8.1543 -1.2618 2.5435
Dy 12.9972 -1.6868 2.9685
Dy 11.0041 0.3063 1.2618
Dy 10.1474 -2.9685 4.5366
Dy 1.2618 2.5435 -0.3063
Dy 11.4291 3.9240 -1.6868
Dy 5.4921 4.5366 -1.6868
Dy 7.1988 2.5435 0.3063
Dy -0.3063 1.2618 2.5435
Dy 4.5366 -1.6868 5.4921
Dy 8.1543 7.1988 -2.5435
Dy 4.5366 1.6868 2.9685
Dy 7.1988 -2.5435 8.1543
Dy 5.4921 -4.5366 10.1474
Dy 2.9685 4.5366 1.6868
Dy 9.7224 5.9171 0.3063
Dy 2.5435 8.1543 -1.2618
Dy 10.1474 2.9685 3.9240
Dy 4.5366 10.1474 -2.9685
Dy 8.1543 1.2618 5.9171
Dy 1.6868 2.9685 4.5366
Dy 2.5435 0.3063 7.1988
Dy 5.9171 8.1543 1.2618
Dy 6.7738 5.4921 3.9240
Dy 0.3063 7.1988 2.5435
Dy 3.9240 -1.6868 11.4291
Dy -1.6868 5.4921 4.5366
Dy 5.9171 0.3063 9.7224
Dy -1.2618 2.5435 8.1543
Dy 5.4921 3.9240 6.7738
Dy 2.9685 12.9972 -1.6868
Dy 1.2618 11.0041 0.3063
Dy 3.9240 6.7738 5.4921
Dy 0.3063 1.2618 11.0041
Dy 3.9240 10.1474 2.9685
Dy 8.7669 7.1988 5.9171
Dy 1.2618 5.9171 8.1543
Dy 2.9685 3.9240 10.1474
Dy -2.9685 4.5366 10.1474
Dy 7.1988 5.9171 8.7669
Dy -1.6868 11.4291 3.9240
Dy -2.5435 8.1543 7.1988
Dy -4.5366 10.1474 5.4921
Dy 0.3063 9.7224 5.9171
Dy -1.6868 2.9685 12.9972
Dy 5.9171 8.7669 7.1988
Pd 4.2303 2.1152 0.0000
Pd 8.4606 4.2303 -2.1152
Pd 2.1152 0.0000 4.2303
Pd 10.5758 0.0000 4.2303
Pd 0.0000 4.2303 2.1152
Pd 4.2303 -2.1152 8.4606
Pd 4.2303 10.5758 0.0000
Pd 8.4606 4.2303 6.3455
Pd -2.1152 8.4606 4.2303
Pd 6.3455 8.4606 4.2303
Pd 0.0000 4.2303 10.5758
Pd 4.2303 6.3455 8.4606
Au 0.0000 0.0000 0.0000
Au 4.2303 4.2303 -4.2303
Au 4.2303 -4.2303 4.2303
Au 8.4606 0.0000 0.0000
Au 12.6909 2.1152 0.0000
Au 8.4606 -4.2303 6.3455
Au 6.3455 8.4606 -4.2303
Au 6.3455 0.0000 4.2303
Au 4.2303 6.3455 0.0000
Au 8.4606 4.2303 2.1152
Au -4.2303 4.2303 4.2303
Au 0.0000 8.4606 0.0000
Au 0.0000 0.0000 8.4606
Au 4.2303 4.2303 4.2303
Au 0.0000 4.2303 6.3455
Au 4.2303 2.1152 8.4606
Au 2.1152 8.4606 4.2303
Au 2.1152 0.0000 12.6909
Au 0.0000 12.6909 2.1152
Au -4.2303 6.3455 8.4606
```

=====

The following is a PBE-GGA calculation of crystalline NaErH at its relaxed geometry, from the Alexandria database.

Summary:
- E_tot: -39.78 eV per cell

extended XYZ file:
```
12
Lattice="6.3799 0.0000 0.0000 0.0000 3.6518 0.0000 -1.7567 0.0000 11.9672" Properties=species:S:1:pos:R:3 pbc="T T T"
Na 0.0829 0.0000 4.3937
Na 1.3503 1.8259 7.5736
Na 3.2729 1.8259 4.3937
Na 4.5403 0.0000 7.5736
Er -0.6971 1.8259 10.6222
Er 2.1303 0.0000 1.3451
Er 2.4929 0.0000 10.6222
Er 5.3203 1.8259 1.3451
H 1.0569 1.8259 0.8127
H 0.3763 0.0000 11.1546
H 4.2469 0.0000 0.8127
H 3.5663 1.8259 11.1546
```

=====

The following is a PBE-GGA calculation of crystalline U2Ge3Pt5 at its relaxed geometry, from the Alexandria database.

Summary:
- Energy of formation: -581 meV per atom

extended XYZ file:
```
20
Lattice="2.1970 -11.8600 0.0000 2.1970 11.8600 0.0000 0.0000 0.0000 6.9253" Properties=species:S:1:pos:R:3 pbc="T T T"
U 2.1970 11.3664 3.4627
U 2.1970 4.0946 3.3427
U 2.1970 -4.0946 6.8053
U 2.1970 -11.3664 0.0000
Ge 2.1970 9.3834 5.7343
Ge 2.1970 5.2747 6.2654
Ge 2.1970 1.2703 4.7599
Ge 2.1970 -1.2703 1.2972
Ge 2.1970 -5.2747 2.8027
Ge 2.1970 -9.3834 2.2716
Pt 2.1970 9.2349 1.4575
Pt 2.1970 7.2553 4.3676
Pt 2.1970 6.4381 1.5064
Pt 2.1970 2.8396 6.8086
Pt 2.1970 1.1695 2.1148
Pt 2.1970 -1.1695 5.5775
Pt 2.1970 -2.8396 3.3459
Pt 2.1970 -6.4381 4.9691
Pt 2.1970 -7.2553 0.9050
Pt 2.1970 -9.2349 4.9201
```

=====

The following is a PBE-GGA calculation of crystalline CsIn5S8 at its relaxed geometry, from the Alexandria database.

Summary:
- E_form (uncorrected): -0.670 eV/atom

extended XYZ file:
```
14
Lattice="9.6681 -1.9659 0.0000 9.6681 1.9659 0.0000 -1.9388 0.0000 9.2642" Properties=species:S:1:pos:R:3 pbc="T T T"
Cs 0.0000 0.0000 0.0000
In 2.0498 0.0000 3.9412
In 2.4751 0.0000 7.7747
In 8.6987 0.0000 4.6321
In 14.9224 0.0000 1.4895
In 15.3477 0.0000 5.3230
S 0.3798 0.0000 5.8590
S 4.4242 0.0000 3.2144
S 6.4020 0.0000 0.1937
S 6.8321 0.0000 6.4836
S 10.5654 0.0000 2.7806
S 10.9954 0.0000 9.0706
S 12.9733 0.0000 6.0498
S 17.0176 0.0000 3.4052
```

=====

Total moment
In order: 0.00; 0.00; 3.00; 0.00; 0.00; 0.00; 0.00; 4.25; 0.79; 0.00; 5.12; 4.70; 0.00; 0.00; 0.88; 0.00; 0.00; 4.01; 0.00
Unit: μB per formula unit